[1]
Here is an optimized crystal structure of Y3W from Alexandria via LeMat-Bulk. Energies are from PBEsol.

Calculated values
- Volume: 97.2 Å³/cell
- M_tot: 0.000 μB/cell
- Formation enthalpy at 0 K: 0.5090 eV/atom
- D(E_F): 1.301 states/eV/atom
- E: -32.24 eV/cell
- ΔE to the lowest computed polymorph: 0.0 kJ per mole of atoms

```
4
Lattice="3.130 0.000 0.000 0.000 4.746 0.000 0.000 0.000 6.547" Properties=species:S:1:pos:R:3 pbc="T T T"
Y 0.000 0.000 0.000
Y 1.565 2.373 1.825
Y 1.565 2.373 4.722
W 0.000 0.000 3.273
```

[2]
Here is an optimized crystal structure of Y3W from Alexandria via LeMat-Bulk. Energies are from PBEsol.

Calculated values
- Volume: 95.6 Å³/cell
- M_tot: 0.000 μB/cell
- Formation enthalpy at 0 K: 0.6125 eV/atom
- D(E_F): 1.563 states/eV/atom
- E: -31.82 eV/cell
- ΔE to the lowest computed polymorph: 10.0 kJ per mole of atoms

```
4
Lattice="5.195 2.999 1.023 -5.195 2.999 1.023 0.000 -5.999 1.023" Properties=species:S:1:pos:R:3 pbc="T T T"
Y -2.597 -1.500 1.023
Y -2.597 1.500 2.046
Y 0.000 2.999 1.023
W 0.000 0.000 0.000
```

[3]
Here is an optimized crystal structure of Y3W2 from Alexandria via LeMat-Bulk. Energies are from PBEsol.

Calculated values
- Volume: 111.8 Å³/cell
- M_tot: 0.000 μB/cell
- Formation enthalpy at 0 K: 0.5218 eV/atom
- D(E_F): 1.003 states/eV/atom
- E: -45.47 eV/cell

```
5
Lattice="3.893 -2.539 0.000 3.893 2.539 0.000 -2.163 0.000 5.655" Properties=species:S:1:pos:R:3 pbc="T T T"
Y 0.000 0.000 0.000
Y 2.778 0.000 1.358
Y 2.846 0.000 4.297
W 0.137 0.000 3.121
W 5.487 0.000 2.534
```

[4]
Here is an optimized crystal structure of YW2 from Alexandria via LeMat-Bulk. Energies are from PBEsol.

Calculated values
- Volume: 55.4 Å³/cell
- M_tot: 0.000 μB/cell
- Formation enthalpy at 0 K: 0.7449 eV/atom
- D(E_F): 0.872 states/eV/atom
- E: -32.20 eV/cell

```
3
Lattice="-1.364 2.445 4.150 1.364 -2.445 4.150 1.364 2.445 -4.150" Properties=species:S:1:pos:R:3 pbc="T T T"
Y 0.000 0.000 0.000
W 0.000 0.000 2.804
W 0.000 0.000 5.496
```

What is the E in the third record?
-45.47 eV/cell